Mg2Co6C: optimized geometry, GGA-PBE.

Properties
Space-group type = Fm-3m (225)
Calculated volume = 11.28 Å³ per atom
Formation enthalpy at 0 K = 0.036 eV/atom

a b c (Å): 5.2364 5.2364 5.2364
angles (deg): 60.00 60.00 60.00
Fractional positions:
Mg1 0.2500 0.2500 0.2500
Mg2 0.7500 0.7500 0.7500
Co1 0.2403 0.2403 0.7597
Co2 0.2403 0.7597 0.2403
Co3 0.2403 0.7597 0.7597
Co4 0.7597 0.2403 0.2403
Co5 0.7597 0.2403 0.7597
Co6 0.7597 0.7597 0.2403
C1 0.5000 0.5000 0.5000

Tb5Si2Ag: optimized geometry, GGA-PBE.

Properties
Space-group type = I4/mcm (140)
Energy relative to the elements, uncorrected = -4.080 eV/f.u.
Calculated volume = 25.51 Å³ per atom

a b c (Å): 8.9849 8.9849 8.9849
angles (deg): 130.65 130.65 72.37
Fractional positions:
Tb1 0.0000 0.0000 0.0000
Tb2 0.0318 0.5318 0.8439
Tb3 0.1879 0.0318 0.5000
Tb4 0.3121 0.8121 0.8439
Tb5 0.4682 0.3121 0.5000
Tb6 0.5000 0.5000 0.0000
Tb7 0.5318 0.6879 0.5000
Tb8 0.6879 0.1879 0.1561
Tb9 0.8121 0.9682 0.5000
Tb10 0.9682 0.4682 0.1561
Si1 0.1212 0.3788 0.5000
Si2 0.3788 0.8788 0.2575
Si3 0.6212 0.1212 0.7425
Si4 0.8788 0.6212 0.5000
Ag1 0.2500 0.2500 0.0000
Ag2 0.7500 0.7500 0.0000

CsRbY3: optimized geometry, GGA-PBE.

Properties
Space-group type = Pm-3m (221)
Calculated volume = 42.68 Å³ per atom
Excess energy over the best structure of this formula in the dataset = 0.0 kJ/mol of atoms
Formation enthalpy at 0 K = 1.225 eV/atom

a b c (Å): 5.9759 5.9759 5.9759
angles (deg): 90.00 90.00 90.00
Fractional positions:
Cs1 0.0000 0.0000 0.0000
Rb1 0.5000 0.5000 0.5000
Y1 0.0000 0.0000 0.5000
Y2 0.0000 0.5000 0.0000
Y3 0.5000 0.0000 0.0000

Mg3CoI: optimized geometry, GGA-PBE.

Properties
Space-group type = Pm-3m (221)
Energy relative to the elements, uncorrected = 1.284 eV/f.u.
Calculated volume = 24.89 Å³ per atom
Excess energy over the best structure of this formula in the dataset = 0.0 kJ/mol of atoms

a b c (Å): 4.9930 4.9930 4.9930
angles (deg): 90.00 90.00 90.00
Fractional positions:
Mg1 0.0000 0.0000 0.5000
Mg2 0.0000 0.5000 0.0000
Mg3 0.5000 0.0000 0.0000
Co1 0.0000 0.0000 0.0000
I1 0.5000 0.5000 0.5000

ReHg2Rh: optimized geometry, GGA-PBE.

Properties
Space-group type = Cm (8)
Calculated volume = 21.57 Å³ per atom
Excess energy over the best structure of this formula in the dataset = 23.5 kJ/mol of atoms
Formation enthalpy at 0 K = 0.516 eV/atom

a b c (Å): 4.2970 4.2970 8.0931
angles (deg): 107.76 107.76 37.58
Fractional positions:
Re1 0.0000 0.0000 0.0000
Hg1 0.4401 0.4401 0.6186
Hg2 0.7088 0.7088 0.3013
Rh1 0.2207 0.2207 0.8702

Pu2NbFe: optimized geometry, GGA-PBE.

Properties
Space-group type = R-3m (166)
Calculated volume = 19.33 Å³ per atom
Formation enthalpy at 0 K = 0.560 eV/atom

a b c (Å): 10.4989 10.4989 10.4989
angles (deg): 16.07 16.07 16.07
Fractional positions:
Pu1 0.0936 0.0936 0.0936
Pu2 0.9064 0.9064 0.9064
Nb1 0.0000 0.0000 0.0000
Fe1 0.5000 0.5000 0.5000

Sm4CdIn2Au: optimized geometry, GGA-PBE.

Properties
Space-group type = R-3m (166)
Calculated volume = 27.39 Å³ per atom
Formation enthalpy at 0 K = -0.504 eV/atom

a b c (Å): 9.2869 9.2869 9.2869
angles (deg): 33.65 33.65 33.65
Fractional positions:
Sm1 0.1198 0.1198 0.1198
Sm2 0.3705 0.3705 0.3705
Sm3 0.6295 0.6295 0.6295
Sm4 0.8802 0.8802 0.8802
Cd1 0.5000 0.5000 0.5000
In1 0.2450 0.2450 0.2450
In2 0.7550 0.7550 0.7550
Au1 0.0000 0.0000 0.0000

Li2TlHRh: optimized geometry, GGA-PBE.

Properties
Space-group type = P4/mmm (123)
Calculated volume = 12.87 Å³ per atom
Total DFT energy (no corrections) = -18.3 eV/cell

a b c (Å): 4.2048 4.2048 3.6397
angles (deg): 90.00 90.00 90.00
Fractional positions:
Li1 0.0000 0.5000 0.0000
Li2 0.5000 0.0000 0.0000
Tl1 0.0000 0.0000 0.5000
H1 0.5000 0.5000 0.0000
Rh1 0.5000 0.5000 0.5000